No. 1
Here is crystalline NdNb2 at its relaxed geometry from Alexandria. Energies are from GGA-PBE.

Computed properties:
The space group is Fd-3m. The formation energy is 0.25 eV/atom. Its calculated total energy is -8.051 eV/atom. The calculation puts the volume at 136.6 Å³ per cell.

Cell lengths 5.780, 5.780, 5.780 Å; angles 60.00, 60.00, 60.00 degrees
Sites, in units of the cell vectors:
Nd (0.125, 0.125, 0.125)
Nd (0.875, 0.875, 0.875)
Nb (0.000, 0.500, 0.500)
Nb (0.500, 0.000, 0.500)
Nb (0.500, 0.500, 0.000)
Nb (0.500, 0.500, 0.500)

=====

No. 2
Here is crystalline NdNbNi10 at its relaxed geometry from Alexandria. Energies are from GGA-PBE.

Computed properties:
The space group is Pmmm. The formation energy is -0.15 eV/atom. Its calculated total energy is -6.207 eV/atom. The calculation puts the volume at 159.0 Å³ per cell.

Cell lengths 3.977, 4.791, 8.345 Å; angles 90.00, 90.00, 90.00 degrees
Sites, in units of the cell vectors:
Nd (0.000, 0.000, 0.000)
Nb (0.000, 0.500, 0.500)
Ni (0.000, 0.000, 0.345)
Ni (0.000, 0.000, 0.655)
Ni (0.000, 0.500, 0.186)
Ni (0.000, 0.500, 0.814)
Ni (0.500, 0.000, 0.500)
Ni (0.500, 0.257, 0.263)
Ni (0.500, 0.257, 0.737)
Ni (0.500, 0.500, 0.000)
Ni (0.500, 0.743, 0.263)
Ni (0.500, 0.743, 0.737)

=====

No. 3
Here is crystalline NdNbNi4 at its relaxed geometry from Alexandria. Energies are from GGA-PBE.

Computed properties:
The space group is F-43m. The formation energy is -0.07 eV/atom. Its calculated total energy is -6.399 eV/atom. The calculation puts the volume at 88.5 Å³ per cell.

Cell lengths 5.003, 5.003, 5.003 Å; angles 60.00, 60.00, 60.00 degrees
Sites, in units of the cell vectors:
Nd (0.000, 0.000, 0.000)
Nb (0.250, 0.250, 0.250)
Ni (0.128, 0.624, 0.624)
Ni (0.624, 0.128, 0.624)
Ni (0.624, 0.624, 0.128)
Ni (0.624, 0.624, 0.624)

=====

No. 4
Here is crystalline NdNb4O8 at its relaxed geometry from Alexandria. Energies are from GGA-PBE.

Computed properties:
The space group is R-3m. Its energy relative to the elements, uncorrected is -227.7 kJ/mol of atoms. Its calculated total energy is -8.876 eV/atom. The calculation puts the volume at 186.5 Å³ per cell.

Cell lengths 6.945, 6.945, 6.945 Å; angles 50.98, 50.98, 50.98 degrees
Sites, in units of the cell vectors:
Nd (0.000, 0.000, 0.000)
Nb (0.000, 0.000, 0.500)
Nb (0.000, 0.500, 0.000)
Nb (0.500, 0.000, 0.000)
Nb (0.500, 0.500, 0.500)
O (0.232, 0.232, 0.232)
O (0.236, 0.742, 0.742)
O (0.258, 0.258, 0.764)
O (0.258, 0.764, 0.258)
O (0.742, 0.236, 0.742)
O (0.742, 0.742, 0.236)
O (0.764, 0.258, 0.258)
O (0.768, 0.768, 0.768)

=====

No. 5
Here is crystalline NdNbO4 at its relaxed geometry from Alexandria. Energies are from GGA-PBE.

Computed properties:
The space group is I4_1/amd. Its energy relative to the elements, uncorrected is -289.7 kJ/mol of atoms. Its calculated total energy is -8.780 eV/atom. The calculation puts the volume at 195.0 Å³ per cell.

Cell lengths 6.342, 6.342, 6.342 Å; angles 106.85, 106.85, 114.86 degrees
Sites, in units of the cell vectors:
Nd (0.375, 0.625, 0.750)
Nd (0.625, 0.375, 0.250)
Nb (0.125, 0.875, 0.250)
Nb (0.875, 0.125, 0.750)
O (0.133, 0.696, 0.438)
O (0.242, 0.304, 0.938)
O (0.304, 0.242, 0.438)
O (0.304, 0.867, 0.062)
O (0.696, 0.133, 0.938)
O (0.696, 0.758, 0.562)
O (0.758, 0.696, 0.062)
O (0.867, 0.304, 0.562)

=====

No. 6
Here is crystalline Nd3NbO7 at its relaxed geometry from Alexandria. Energies are from GGA-PBE.

Computed properties:
The space group is Cmcm. Its energy relative to the elements, uncorrected is -307.7 kJ/mol of atoms. Its calculated total energy is -8.560 eV/atom. The calculation puts the volume at 322.5 Å³ per cell.

Cell lengths 6.681, 6.681, 7.746 Å; angles 90.00, 90.00, 68.89 degrees
Sites, in units of the cell vectors:
Nd (0.000, 0.000, 0.000)
Nd (0.000, 0.000, 0.500)
Nd (0.069, 0.479, 0.750)
Nd (0.479, 0.069, 0.250)
Nd (0.521, 0.931, 0.750)
Nd (0.931, 0.521, 0.250)
Nb (0.500, 0.500, 0.000)
Nb (0.500, 0.500, 0.500)
O (0.109, 0.154, 0.250)
O (0.154, 0.109, 0.750)
O (0.184, 0.562, 0.035)
O (0.184, 0.562, 0.465)
O (0.429, 0.571, 0.750)
O (0.438, 0.816, 0.035)
O (0.438, 0.816, 0.465)
O (0.562, 0.184, 0.535)
O (0.562, 0.184, 0.965)
O (0.571, 0.429, 0.250)
O (0.816, 0.438, 0.535)
O (0.816, 0.438, 0.965)
O (0.846, 0.891, 0.250)
O (0.891, 0.846, 0.750)